Tl3TeF: relaxed, GGA-PBE.

**Calculated volume**: 285 Å³/cell
**Formation energy without anion corrections**: -0.24 eV per atom
**Polymorph energy (0 for the lowest one)**: 579 meV/atom

Geometry as extended XYZ:
```
5
Lattice="-6.480 -0.384 -1.082 1.077 -4.181 -4.967 -0.398 -5.068 4.180" Properties=species:S:1:pos:R:3 pbc="T T T"
Tl 0.539 -2.090 -2.484
Tl -0.199 -2.534 2.090
Tl -3.240 -0.192 -0.541
Te 0.000 0.000 0.000
F -2.901 -4.816 -0.935
```


PrBe4Ir2Pt: relaxed, GGA-PBE.

**Calculated volume**: 113 Å³/cell
**Formation enthalpy at 0 K**: -51.6 kJ per mole of atoms

Geometry as extended XYZ:
```
8
Lattice="3.942 0.000 0.000 1.971 3.414 0.000 1.971 1.138 8.378" Properties=species:S:1:pos:R:3 pbc="T T T"
Pr 0.000 0.000 0.000
Be 3.942 2.276 6.423
Be 5.914 3.414 3.262
Be 1.971 1.138 5.117
Be 3.942 2.276 1.955
Ir 5.914 3.414 5.984
Ir 1.971 1.138 2.395
Pt 3.942 2.276 4.189
```


TmLu2Cu: relaxed, GGA-PBE.

**Calculated volume**: 104 Å³/cell
**Formation enthalpy at 0 K**: 1.9 kJ per mole of atoms
**Polymorph energy (0 for the lowest one)**: 136 meV/atom

Geometry as extended XYZ:
```
4
Lattice="-2.387 -1.700 1.958 -0.980 -3.273 -0.865 5.934 -5.225 5.869" Properties=species:S:1:pos:R:3 pbc="T T T"
Lu 2.248 -7.812 5.474
Lu 0.319 -2.386 1.488
Tm 1.283 -5.099 3.481
Cu 0.000 0.000 0.000
```


La4SmTm3: relaxed, GGA-PBE.

**Calculated volume**: 545 Å³/cell
**Formation enthalpy at 0 K**: 3.2 kJ per mole of atoms

Geometry as extended XYZ:
```
16
Lattice="-3.633 0.148 -5.238 4.551 -4.708 -3.290 -6.283 -8.943 4.105" Properties=species:S:1:pos:R:3 pbc="T T T"
La 3.458 -4.076 -3.587
La -1.805 -0.521 -3.898
La -4.611 -2.753 -4.474
La 0.728 -6.211 -4.394
La 0.224 -8.536 -1.651
La -4.870 -4.988 -1.718
La -2.520 -10.833 -2.272
La -7.647 -7.074 -2.491
Sm 1.154 -1.742 -2.027
Sm -2.664 -7.318 -3.418
Tm 0.450 -2.807 -5.427
Tm -2.313 -5.000 -6.136
Tm -1.574 -3.963 -2.738
Tm -1.938 -6.254 0.013
Tm -4.714 -8.432 -0.686
Tm -5.456 -9.474 -4.082
```


MgCuO2: relaxed, GGA-PBE.

**Calculated volume**: 78 Å³/cell
**Formation energy without anion corrections**: -1.61 eV per atom

Geometry as extended XYZ:
```
8
Lattice="-0.252 -5.135 -0.443 2.075 1.849 -4.348 2.792 -0.243 1.229" Properties=species:S:1:pos:R:3 pbc="T T T"
Mg 0.000 0.000 0.000
Mg 0.911 -1.643 -2.396
Cu 1.270 -2.689 0.393
Cu 2.433 0.803 -1.560
O 0.593 -3.412 -1.303
O 4.021 -0.117 -2.259
O 2.763 -2.587 -2.979
O 1.852 -0.943 -0.583
```


La4AlCd2Hg: relaxed, GGA-PBE.

**Calculated volume**: 237 Å³/cell
**Formation enthalpy at 0 K**: -36.1 kJ per mole of atoms

Geometry as extended XYZ:
```
8
Lattice="5.502 0.000 0.000 2.751 4.765 0.000 2.751 1.588 9.034" Properties=species:S:1:pos:R:3 pbc="T T T"
La 5.502 3.177 7.846
La 8.253 4.765 3.442
La 2.751 1.588 5.591
La 5.502 3.177 1.188
Al 5.502 3.177 4.517
Cd 8.253 4.765 6.764
Cd 2.751 1.588 2.269
Hg 0.000 0.000 0.000
```


CeScCo2H8: relaxed, GGA-PBE.

**Calculated volume**: 101 Å³/cell
**Total energy**: -4.706 eV per atom

Geometry as extended XYZ:
```
12
Lattice="-3.873 0.136 -2.490 0.150 -0.781 -4.537 -2.010 -5.603 -1.441" Properties=species:S:1:pos:R:3 pbc="T T T"
Ce -2.866 -3.124 -4.234
Sc 0.000 0.000 0.000
Co -1.300 -0.626 -2.274
Co -4.433 -5.622 -6.195
H -1.544 -2.335 -1.988
H -2.471 -1.040 -3.356
H -4.189 -3.912 -6.481
H -3.694 -1.151 -5.068
H -2.039 -5.096 -3.401
H -1.620 -1.475 -5.233
H -4.113 -4.772 -3.235
H -3.262 -5.208 -5.112
```


La5PaN6: relaxed, GGA-PBE.

**Calculated volume**: 215 Å³/cell
**Formation energy without anion corrections**: -1.45 eV per atom

Geometry as extended XYZ:
```
12
Lattice="6.391 0.182 0.000 1.970 6.106 0.000 0.985 3.053 5.552" Properties=species:S:1:pos:R:3 pbc="T T T"
La 4.180 3.144 3.720
La 0.985 3.053 1.852
La 4.180 3.144 0.000
La 1.970 6.106 3.701
La 5.165 6.197 1.832
Pa 0.000 0.000 0.000
N 5.373 1.521 1.662
N 2.988 4.766 1.662
N 1.949 1.410 0.000
N 6.411 4.878 0.000
N 6.358 4.574 3.891
N 3.973 7.819 3.891
```


VW3: relaxed, GGA-PBE.

**Calculated volume**: 62 Å³/cell
**Formation enthalpy at 0 K**: -7.1 kJ per mole of atoms

Geometry as extended XYZ:
```
4
Lattice="-3.428 -2.074 -1.912 -3.045 -2.033 2.510 -4.089 1.695 0.338" Properties=species:S:1:pos:R:3 pbc="T T T"
W 0.000 0.000 0.000
W -5.281 -1.206 0.468
W -2.640 -0.603 0.234
V -7.921 -1.808 0.702
```


Zr2ScSe: relaxed, GGA-PBE.

**Calculated volume**: 84 Å³/cell
**Formation energy without anion corrections**: -0.39 eV per atom

Geometry as extended XYZ:
```
4
Lattice="3.427 0.000 0.000 0.000 4.898 0.001 0.000 3.297 4.994" Properties=species:S:1:pos:R:3 pbc="T T T"
Sc 1.714 4.098 2.497
Se 0.000 1.649 2.497
Zr 0.000 0.000 0.000
Zr 1.714 2.449 0.000
```


TaNbPF2: relaxed, GGA-PBE.

**Calculated volume**: 84 Å³/cell
**Formation energy without anion corrections**: -0.68 eV per atom

Geometry as extended XYZ:
```
5
Lattice="-1.703 -2.353 2.699 4.344 0.365 3.060 -1.537 3.180 1.803" Properties=species:S:1:pos:R:3 pbc="T T T"
P 2.172 0.183 1.530
Nb 0.000 0.000 0.000
F -0.768 1.590 0.901
F -0.852 -1.177 1.350
Ta 0.552 0.596 3.781
```


Sc2CrPt: relaxed, GGA-PBE.

**Calculated volume**: 83 Å³/cell
**Formation enthalpy at 0 K**: 2.9 kJ per mole of atoms

Geometry as extended XYZ:
```
4
Lattice="-4.439 -7.031 3.520 -2.071 -6.634 5.765 -4.810 -4.823 5.928" Properties=species:S:1:pos:R:3 pbc="T T T"
Cr -5.561 -9.082 7.473
Pt -8.507 -13.894 11.432
Sc -0.182 -0.297 0.244
Sc -2.731 -4.461 3.671
```